! KZnHgCl5 (PBE, relaxed); values from VASP
! - formation energy from raw total energies (eV/atom) = -1.15
! - symmetry = C2/c
! - E (eV for the cell shown) = -42.17
! - spin magnetization (μB/atom) = 0.000
&SYSTEM
  ibrav = 0, nat = 16, ntyp = 4
/
ATOMIC_SPECIES
K 39.10 K.upf
Zn 65.41 Zn.upf
Hg 200.59 Hg.upf
Cl 35.45 Cl.upf
ATOMIC_POSITIONS crystal
K 0.147 0.853 0.750
K 0.853 0.147 0.250
Zn 0.186 0.814 0.250
Zn 0.814 0.186 0.750
Hg 0.500 0.500 0.000
Hg 0.500 0.500 0.500
Cl 0.103 0.246 0.938
Cl 0.169 0.585 0.379
Cl 0.246 0.103 0.438
Cl 0.413 0.587 0.750
Cl 0.415 0.831 0.121
Cl 0.585 0.169 0.879
Cl 0.587 0.413 0.250
Cl 0.754 0.897 0.562
Cl 0.831 0.415 0.621
Cl 0.897 0.754 0.062
CELL_PARAMETERS angstrom
4.469 -6.016 0.000
4.469 6.016 0.000
-3.492 0.000 8.602